Entry 1:
Computed, not measured: a relaxed structure of CsLa2Re at the PBE level of DFT.

The structure in POSCAR format:
```
CsLa2Re
1.0
0.000 3.845 3.845
3.845 0.000 3.845
3.845 3.845 0.000
La Cs Re
2 1 1
direct
0.750 0.750 0.750 La
0.250 0.250 0.250 La
0.000 0.000 0.000 Cs
0.500 0.500 0.500 Re
```

## Properties
ΔH_f (0 K)	3.56	eV per formula unit
DOS at the Fermi energy	0.504	states/eV/atom

Entry 2:
Computed, not measured: a relaxed structure of PmSnBi at the PBE level of DFT.

The structure in POSCAR format:
```
PmSnBi
1.0
-3.149 0.997 -0.914
-0.994 -6.154 -3.285
-2.866 -3.040 6.563
Sn Bi Pm
2 2 2
direct
0.500 0.750 0.708 Sn
0.500 0.250 0.292 Sn
0.000 0.750 0.352 Bi
0.000 0.250 0.648 Bi
0.000 0.500 0.000 Pm
0.000 0.000 0.000 Pm
```

## Properties
ΔE to the lowest computed polymorph	0.552	eV per atom
ΔH_f (0 K)	-0.34	eV per formula unit
DOS at the Fermi energy	0.738	states/eV/atom

Entry 3:
Computed, not measured: a relaxed structure of Cd2GaCu2 at the PBE level of DFT.

The structure in POSCAR format:
```
Cd2GaCu2
1.0
-6.080 -1.279 2.194
2.511 -3.876 4.700
0.228 3.121 2.452
Cd Cu Ga
4 4 2
direct
0.338 0.162 0.500 Cd
0.162 0.662 0.500 Cd
0.662 0.838 0.500 Cd
0.838 0.338 0.500 Cd
0.639 0.139 0.000 Cu
0.361 0.861 0.000 Cu
0.861 0.639 0.000 Cu
0.139 0.361 0.000 Cu
0.500 0.500 0.000 Ga
0.000 0.000 0.000 Ga
```

## Properties
ΔH_f (0 K)	0.29	eV per formula unit
DOS at the Fermi energy	0.346	states/eV/atom

Entry 4:
Computed, not measured: a relaxed structure of TbGa3Fe at the PBE level of DFT.

The structure in POSCAR format:
```
TbGa3Fe
1.0
4.536 0.000 0.000
0.000 4.536 0.000
0.000 0.000 4.536
Fe Ga Tb
1 3 1
direct
0.000 0.000 0.000 Fe
0.500 0.000 0.000 Ga
0.000 0.000 0.500 Ga
0.000 0.500 0.000 Ga
0.500 0.500 0.500 Tb
```

## Properties
ΔE to the lowest computed polymorph	0.090	eV per atom
ΔH_f (0 K)	-1.56	eV per formula unit
DOS at the Fermi energy	0.359	states/eV/atom